(1)
# MnVTcW | the Alexandria database | PBE-GGA | relaxed
# energy of formation	-0.106	eV/atom
# V	220.7	Å³/cell
# electronic total energy	-168.125	eV/cell
data_MnVTcW
_cell_length_a 6.0431
_cell_length_b 6.0431
_cell_length_c 6.0431
_cell_angle_alpha 90.00
_cell_angle_beta 90.00
_cell_angle_gamma 90.00
_symmetry_space_group_name_H-M 'F -4 3 m'
_symmetry_Int_Tables_number 216
_symmetry_space_group_name_Hall 'F -4 2 3'
loop_
_atom_site_label
_atom_site_fract_x
_atom_site_fract_y
_atom_site_fract_z
Mn1 0.0000 0.0000 0.0000
V1 0.2500 0.2500 0.2500
Tc1 0.0000 0.0000 0.5000
W1 0.2500 0.2500 0.7500


(2)
# TlCdHg2Se | the Alexandria database | PBE-GGA | relaxed
# energy relative to the elements, uncorrected	0.4322	eV per atom
# V	180.9	Å³/cell
# electronic total energy	-5.209	eV/cell
data_TlCdHg2Se
_cell_length_a 5.6825
_cell_length_b 5.6825
_cell_length_c 5.6026
_cell_angle_alpha 90.00
_cell_angle_beta 90.00
_cell_angle_gamma 90.00
_symmetry_space_group_name_H-M 'P 4/m m m'
_symmetry_Int_Tables_number 123
_symmetry_space_group_name_Hall '-P 4 2'
loop_
_atom_site_label
_atom_site_fract_x
_atom_site_fract_y
_atom_site_fract_z
Tl1 0.0000 0.0000 0.0000
Cd1 0.0000 0.0000 0.5000
Hg1 0.0000 0.5000 0.0000
Se1 0.5000 0.5000 0.5000


(3)
# CsReSeN2 | the Alexandria database | PBE-GGA | relaxed
# ΔE to the lowest computed polymorph	0.0	meV/atom
# energy relative to the elements, uncorrected	0.5611	eV per atom
# V	89.5	Å³/cell
# electronic total energy	-30.631	eV/cell
data_CsReSeN2
_cell_length_a 4.1073
_cell_length_b 4.1073
_cell_length_c 5.3036
_cell_angle_alpha 90.00
_cell_angle_beta 90.00
_cell_angle_gamma 90.00
_symmetry_space_group_name_H-M 'P 4/m m m'
_symmetry_Int_Tables_number 123
_symmetry_space_group_name_Hall '-P 4 2'
loop_
_atom_site_label
_atom_site_fract_x
_atom_site_fract_y
_atom_site_fract_z
Cs1 0.0000 0.0000 0.0000
Re1 0.5000 0.5000 0.5000
Se1 0.5000 0.5000 0.0000
N1 0.0000 0.5000 0.5000


(4)
# MnCr2Rh | the Alexandria database | PBE-GGA | relaxed
# ΔE to the lowest computed polymorph	1.3	meV/atom
# energy of formation	-0.003	eV/atom
# V	53.4	Å³/cell
# electronic total energy	-35.778	eV/cell
data_MnCr2Rh
_cell_length_a 3.0645
_cell_length_b 4.1277
_cell_length_c 4.2224
_cell_angle_alpha 90.00
_cell_angle_beta 90.00
_cell_angle_gamma 90.00
_symmetry_space_group_name_H-M 'P m m m'
_symmetry_Int_Tables_number 47
_symmetry_space_group_name_Hall '-P 2 2'
loop_
_atom_site_label
_atom_site_fract_x
_atom_site_fract_y
_atom_site_fract_z
Mn1 0.0000 0.0000 0.0000
Cr1 0.0000 0.5000 0.5000
Cr2 0.5000 0.0000 0.5000
Rh1 0.5000 0.5000 0.0000


(5)
# LaP3Os | the Alexandria database | PBE-GGA | relaxed
# ΔE to the lowest computed polymorph	0.0	meV/atom
# energy of formation	-0.128	eV/atom
# V	102.8	Å³/cell
# electronic total energy	-33.028	eV/cell
data_LaP3Os
_cell_length_a 4.6839
_cell_length_b 4.6839
_cell_length_c 4.6839
_cell_angle_alpha 90.00
_cell_angle_beta 90.00
_cell_angle_gamma 90.00
_symmetry_space_group_name_H-M 'P m -3 m'
_symmetry_Int_Tables_number 221
_symmetry_space_group_name_Hall '-P 4 2 3'
loop_
_atom_site_label
_atom_site_fract_x
_atom_site_fract_y
_atom_site_fract_z
La1 0.0000 0.0000 0.0000
P1 0.0000 0.5000 0.5000
Os1 0.5000 0.5000 0.5000


(6)
# LaGaB3 | the Alexandria database | PBE-GGA | relaxed
# ΔE to the lowest computed polymorph	1335.5	meV/atom
# energy of formation	2.270	eV/atom
# V	114.4	Å³/cell
# electronic total energy	-16.636	eV/cell
data_LaGaB3
_cell_length_a 4.8545
_cell_length_b 4.8545
_cell_length_c 4.8545
_cell_angle_alpha 90.00
_cell_angle_beta 90.00
_cell_angle_gamma 90.00
_symmetry_space_group_name_H-M 'P m -3 m'
_symmetry_Int_Tables_number 221
_symmetry_space_group_name_Hall '-P 4 2 3'
loop_
_atom_site_label
_atom_site_fract_x
_atom_site_fract_y
_atom_site_fract_z
La1 0.0000 0.0000 0.0000
Ga1 0.5000 0.5000 0.5000
B1 0.0000 0.0000 0.5000